{"formula": "ZrMnGa2Mo", "functional": "PBE", "state": "optimized geometry", "e_form_mev_per_atom": 371, "total_energy_ev_per_atom": -6.550, "dos_at_fermi_per_ev_fu": 2.326, "rho_g_cm3": 6.96, "magnetic_moment_mub_per_cell": 0.9, "cell": [[4.490, 0.000, 0.000], [0.000, 4.514, 0.000], [0.000, 0.000, 4.490]], "species": ["Ga", "Mo", "Mn", "Ga", "Zr"], "fractional_positions": [[0.000, 0.000, 0.500], [0.000, 0.500, 0.000], [0.000, 0.000, 0.000], [0.500, 0.000, 0.000], [0.500, 0.500, 0.500]]}